Record 1
## Ho2AuO (GGA-PBE)

Data for a relaxed structure of Ho2AuO.

Computed properties:
* theoretical density: 10.6 g cm⁻³
* SG: R-3m
* calculated total energy: -5.542 eV per atom
* total magnetic moment: 0.00 μB per atom

Structure (POSCAR):
```
Ho2AuO
1.0
1.712 0.989 8.346
-1.712 0.989 8.346
0.000 -1.977 8.346
Ho Au O
2 1 1
Direct
0.113 0.113 0.113
0.887 0.887 0.887
0.000 0.000 0.000
0.500 0.500 0.500
```



Record 2
## Ce2HoBr2N2 (GGA-PBE)

Data for a relaxed structure of Ce2HoBr2N2.

Computed properties:
* theoretical density: 6.6 g cm⁻³
* SG: I4/mmm
* calculated total energy: -6.584 eV per atom
* total magnetic moment: 0.42 μB per atom

Structure (POSCAR):
```
Ce2HoBr2N2
1.0
-2.242 2.242 7.967
2.242 -2.242 7.967
2.242 2.242 -7.967
Ce Ho Br N
2 1 2 2
Direct
0.092 0.092 0.000
0.908 0.908 0.000
0.500 0.500 0.000
0.317 0.317 0.000
0.683 0.683 0.000
0.000 0.500 0.500
0.500 0.000 0.500
```



Record 3
## NpGaAg (GGA-PBE)

Data for a relaxed structure of NpGaAg.

Computed properties:
* theoretical density: 11.8 g cm⁻³
* SG: I4mm
* total magnetic moment: 1.33 μB per atom
* E_form: 0.098 eV/atom

Structure (POSCAR):
```
NpGaAg
1.0
-1.482 1.482 6.625
1.482 -1.482 6.625
1.482 1.482 -6.625
Np Ga Ag
1 1 1
Direct
0.000 0.000 0.000
0.669 0.669 0.000
0.310 0.310 0.000
```